(1)
! YZnCu3 | the Alexandria database | PBE-GGA | relaxed; values from VASP
&SYSTEM
  ibrav = 0, nat = 5, ntyp = 3
/
ATOMIC_SPECIES
Y 88.91 Y.upf
Zn 65.41 Zn.upf
Cu 63.55 Cu.upf
CELL_PARAMETERS angstrom
5.1991 0.0000 0.0000
0.0000 5.1991 0.0000
0.0000 0.0000 5.1991
ATOMIC_POSITIONS angstrom
Y 0.0000 0.0000 0.0000
Zn 2.5995 2.5995 2.5995
Cu 0.0000 0.0000 2.5995
Cu 0.0000 2.5995 0.0000
Cu 2.5995 0.0000 0.0000
! N(E_F) = 0.34 states/eV per atom
! energy of formation from the pure elements = 1198 meV per atom
! offset from the most stable computed form = 1364.3 meV/atom

=====

(2)
! Y3Zn2Cu9 | the Alexandria database | PBE-GGA | relaxed; values from VASP
&SYSTEM
  ibrav = 0, nat = 14, ntyp = 3
/
ATOMIC_SPECIES
Y 88.91 Y.upf
Zn 65.41 Zn.upf
Cu 63.55 Cu.upf
CELL_PARAMETERS angstrom
-2.0883 4.4118 6.1909
2.0883 -4.4118 6.1909
2.0883 4.4118 -6.1909
ATOMIC_POSITIONS angstrom
Y 0.0000 0.0000 0.0000
Y 0.0000 0.0000 3.7097
Y 0.0000 0.0000 8.6720
Zn 2.0883 2.6209 0.0000
Zn 0.0000 1.7909 6.1909
Cu 2.0883 -1.2519 2.1071
Cu 2.0883 -1.9102 4.6189
Cu 2.0883 1.2519 2.1071
Cu 0.0000 2.5016 1.5720
Cu 0.0000 4.4118 0.0000
Cu 2.0883 1.9102 4.6189
Cu 0.0000 3.1599 4.0838
Cu 0.0000 6.3220 1.5720
Cu 0.0000 5.6637 4.0838
! N(E_F) = 0.56 states/eV per atom
! energy of formation from the pure elements = -226 meV per atom

=====

(3)
! YZn12Cu4 | the Alexandria database | PBE-GGA | relaxed; values from VASP
&SYSTEM
  ibrav = 0, nat = 17, ntyp = 3
/
ATOMIC_SPECIES
Y 88.91 Y.upf
Zn 65.41 Zn.upf
Cu 63.55 Cu.upf
CELL_PARAMETERS angstrom
-4.2521 4.2521 4.2521
4.2521 -4.2521 4.2521
4.2521 4.2521 -4.2521
ATOMIC_POSITIONS angstrom
Y 0.0000 0.0000 0.0000
Zn 2.9829 0.0000 1.3392
Zn 5.5212 0.0000 1.3392
Zn 4.2521 2.9128 -1.2692
Zn 1.3392 2.9829 0.0000
Zn 2.9128 -1.2692 4.2521
Zn 4.2521 2.9128 1.2692
Zn 0.0000 1.3392 2.9829
Zn 1.3392 5.5212 0.0000
Zn 2.9128 1.2692 4.2521
Zn 0.0000 1.3392 5.5212
Zn -1.2692 4.2521 2.9128
Zn 1.2692 4.2521 2.9128
Cu 2.1260 2.1260 -2.1260
Cu 2.1260 -2.1260 2.1260
Cu -2.1260 2.1260 2.1260
Cu 2.1260 2.1260 2.1260
! N(E_F) = 0.38 states/eV per atom
! energy of formation from the pure elements = 164 meV per atom

=====

(4)
! Y2Zn7Cu | the Alexandria database | PBE-GGA | relaxed; values from VASP
&SYSTEM
  ibrav = 0, nat = 10, ntyp = 3
/
ATOMIC_SPECIES
Y 88.91 Y.upf
Zn 65.41 Zn.upf
Cu 63.55 Cu.upf
CELL_PARAMETERS angstrom
4.0698 0.0000 0.0000
0.0000 4.0698 0.0000
0.0000 0.0000 10.8714
ATOMIC_POSITIONS angstrom
Y 0.0000 2.0349 2.6992
Y 2.0349 0.0000 8.1722
Zn 0.0000 0.0000 0.0000
Zn 0.0000 0.0000 5.4357
Zn 0.0000 2.0349 6.9533
Zn 0.0000 2.0349 9.3990
Zn 2.0349 0.0000 1.4724
Zn 2.0349 0.0000 3.9181
Zn 2.0349 2.0349 5.4357
Cu 2.0349 2.0349 0.0000
! N(E_F) = 0.47 states/eV per atom
! energy of formation from the pure elements = -290 meV per atom

=====

(5)
! YZn6Cu6 | the Alexandria database | PBE-GGA | relaxed; values from VASP
&SYSTEM
  ibrav = 0, nat = 13, ntyp = 3
/
ATOMIC_SPECIES
Y 88.91 Y.upf
Zn 65.41 Zn.upf
Cu 63.55 Cu.upf
CELL_PARAMETERS angstrom
-2.4701 4.3361 4.3987
2.4701 -4.3361 4.3987
2.4701 4.3361 -4.3987
ATOMIC_POSITIONS angstrom
Y 0.0000 0.0000 0.0000
Zn 2.4701 0.0000 1.8045
Zn 0.0000 3.0147 0.0000
Zn 0.0000 0.0000 3.0866
Zn 0.0000 0.0000 5.7107
Zn 0.0000 5.6575 0.0000
Zn 0.0000 4.3361 2.5942
Cu 1.2350 2.1681 -2.1993
Cu 1.2350 -2.1681 2.1993
Cu 2.4701 1.9456 0.0000
Cu -1.2350 2.1681 2.1993
Cu 1.2350 2.1681 2.1993
Cu 0.0000 2.3906 4.3987
! N(E_F) = 0.48 states/eV per atom
! energy of formation from the pure elements = -179 meV per atom

=====

(6)
! YZn4Cu2 | the Alexandria database | PBE-GGA | relaxed; values from VASP
&SYSTEM
  ibrav = 0, nat = 7, ntyp = 3
/
ATOMIC_SPECIES
Y 88.91 Y.upf
Zn 65.41 Zn.upf
Cu 63.55 Cu.upf
CELL_PARAMETERS angstrom
-3.7353 3.7353 2.5956
3.7353 -3.7353 2.5956
3.7353 3.7353 -2.5956
ATOMIC_POSITIONS angstrom
Y 0.0000 0.0000 0.0000
Zn 3.7353 1.9682 0.0000
Zn 1.9682 3.7353 0.0000
Zn 1.7671 0.0000 2.5956
Zn 0.0000 1.7671 2.5956
Cu 3.7353 0.0000 1.2978
Cu 0.0000 3.7353 1.2978
! N(E_F) = 0.53 states/eV per atom
! energy of formation from the pure elements = 199 meV per atom
! offset from the most stable computed form = 431.5 meV/atom

=====

(7)
! Y11Zn9Cu4 | the Alexandria database | PBE-GGA | relaxed; values from VASP
&SYSTEM
  ibrav = 0, nat = 24, ntyp = 3
/
ATOMIC_SPECIES
Y 88.91 Y.upf
Zn 65.41 Zn.upf
Cu 63.55 Cu.upf
CELL_PARAMETERS angstrom
6.9626 -10.4301 0.0000
6.9626 10.4301 0.0000
0.0000 0.0000 3.6191
ATOMIC_POSITIONS angstrom
Y 0.0000 0.0000 0.0000
Y 3.3842 3.5624 0.0000
Y 6.9626 6.9212 0.0000
Y 3.9948 0.0000 0.0000
Y 6.9626 2.8397 0.0000
Y 3.3842 -3.5624 0.0000
Y 10.5411 3.5624 0.0000
Y 6.9626 -2.8397 0.0000
Y 9.9304 0.0000 0.0000
Y 6.9626 -6.9212 0.0000
Y 10.5411 -3.5624 0.0000
Zn 1.9505 1.5317 1.8096
Zn 5.5085 4.9248 1.8096
Zn 1.9505 -1.5317 1.8096
Zn 8.4167 4.9248 1.8096
Zn 6.9626 0.0000 1.8096
Zn 5.5085 -4.9248 1.8096
Zn 11.9747 1.5317 1.8096
Zn 8.4167 -4.9248 1.8096
Zn 11.9747 -1.5317 1.8096
Cu 4.9117 2.0162 1.8096
Cu 4.9117 -2.0162 1.8096
Cu 9.0135 2.0162 1.8096
Cu 9.0135 -2.0162 1.8096
! N(E_F) = 0.84 states/eV per atom
! energy of formation from the pure elements = -305 meV per atom

=====

(8)
! Y12ZnCu6 | the Alexandria database | PBE-GGA | relaxed; values from VASP
&SYSTEM
  ibrav = 0, nat = 19, ntyp = 3
/
ATOMIC_SPECIES
Y 88.91 Y.upf
Zn 65.41 Zn.upf
Cu 63.55 Cu.upf
CELL_PARAMETERS angstrom
-4.9242 4.9242 4.9242
4.9242 -4.9242 4.9242
4.9242 4.9242 -4.9242
ATOMIC_POSITIONS angstrom
Y 4.9242 3.0749 -2.0276
Y 2.8967 0.0000 1.8493
Y 6.9518 0.0000 1.8493
Y 1.8493 2.8967 0.0000
Y 3.0749 -2.0276 4.9242
Y 0.0000 1.8493 2.8967
Y 4.9242 3.0749 2.0276
Y 1.8493 6.9518 0.0000
Y 3.0749 2.0276 4.9242
Y -2.0276 4.9242 3.0749
Y 2.0276 4.9242 3.0749
Y 0.0000 1.8493 6.9518
Zn 0.0000 0.0000 0.0000
Cu 4.9242 1.2247 0.0000
Cu 4.9242 0.0000 3.6996
Cu 3.6996 4.9242 0.0000
Cu 1.2247 0.0000 4.9242
Cu 0.0000 4.9242 1.2247
Cu 0.0000 3.6996 4.9242
! N(E_F) = 0.69 states/eV per atom
! energy of formation from the pure elements = -169 meV per atom
! offset from the most stable computed form = 0.0 meV/atom